Below is a relaxed YAl crystal, with properties calculated at the GGA-PBEsol level.

space group = No. 57
ΔH_f (0 K) = -368 meV per atom
crystal system = orthorhombic

POSCAR file:
```
YAl
1.0
6.089 0.000 0.000
0.000 9.249 0.000
0.000 0.000 10.116
Al Y
12 12
Direct
0.250 0.132 0.863
0.750 0.868 0.137
0.750 0.953 0.583
0.750 0.453 0.417
0.500 0.250 0.059
0.500 0.750 0.941
0.000 0.750 0.941
0.250 0.047 0.417
0.250 0.547 0.583
0.250 0.632 0.137
0.750 0.368 0.863
0.000 0.250 0.059
0.750 0.027 0.879
0.250 0.363 0.306
0.000 0.750 0.382
0.500 0.750 0.382
0.500 0.250 0.618
0.750 0.637 0.694
0.250 0.473 0.879
0.750 0.137 0.306
0.250 0.863 0.694
0.000 0.250 0.618
0.750 0.527 0.121
0.250 0.973 0.121
```

Below is a relaxed LaZrCo3 crystal, with properties calculated at the GGA-PBEsol level.

space group = No. 221
ΔH_f (0 K) = 1172 meV per atom
crystal system = cubic

POSCAR file:
```
LaZrCo3
1.0
4.453 0.000 0.000
0.000 4.453 0.000
0.000 0.000 4.453
Zr La Co
1 1 3
Direct
0.500 0.500 0.500
0.000 0.000 0.000
0.500 0.000 0.000
0.000 0.000 0.500
0.000 0.500 0.000
```

Below is a relaxed SrCo2Si crystal, with properties calculated at the GGA-PBEsol level.

space group = No. 141
formation energy (no corrections) = 0.097 eV/atom
crystal system = tetragonal

POSCAR file:
```
SrCo2Si
1.0
4.591 0.000 0.000
0.000 4.591 0.000
-2.295 -2.295 7.642
Sr Co Si
2 4 2
Direct
0.000 0.000 0.000
0.250 0.750 0.500
0.625 0.375 0.250
0.125 0.375 0.750
0.625 0.375 0.750
0.625 0.875 0.250
0.750 0.250 0.500
0.500 0.500 0.000
```

Below is a relaxed Cr2Bi6O15 crystal, with properties calculated at the GGA-PBEsol level.

space group = No. 37
formation energy (no corrections) = -1.477 eV/atom
crystal system = orthorhombic

POSCAR file:
```
Cr2Bi6O15
1.0
-1.827 -2.766 -4.765
1.919 -10.284 5.235
-10.660 4.605 1.414
Bi O Cr
12 30 4
Direct
0.255 0.048 0.174
0.170 0.607 0.746
0.755 0.174 0.048
0.667 0.900 0.304
0.670 0.254 0.393
0.167 0.696 0.100
0.255 0.952 0.826
0.170 0.393 0.254
0.167 0.304 0.900
0.670 0.746 0.607
0.667 0.100 0.696
0.755 0.826 0.952
0.911 0.743 0.744
0.411 0.256 0.257
0.068 0.222 0.676
0.883 0.831 0.141
0.616 0.062 0.255
0.961 0.887 0.573
0.568 0.676 0.222
0.461 0.573 0.887
0.911 0.257 0.256
0.961 0.113 0.427
0.883 0.169 0.859
0.659 0.471 0.658
0.413 0.859 0.501
0.068 0.778 0.324
0.116 0.745 0.938
0.461 0.427 0.113
0.659 0.529 0.342
0.116 0.255 0.062
0.568 0.324 0.778
0.411 0.744 0.743
0.913 0.499 0.141
0.159 0.342 0.529
0.413 0.141 0.499
0.450 0.000 0.000
0.159 0.658 0.471
0.383 0.859 0.169
0.950 0.000 0.000
0.383 0.141 0.831
0.913 0.501 0.859
0.616 0.938 0.745
0.154 0.795 0.466
0.154 0.205 0.534
0.654 0.534 0.205
0.654 0.466 0.795
```

Below is a relaxed LaCr2BiS crystal, with properties calculated at the GGA-PBEsol level.

space group = No. 123
formation energy (no corrections) = 1.792 eV/atom
crystal system = tetragonal

POSCAR file:
```
LaCr2BiS
1.0
-1.860 3.105 2.925
-4.253 -1.594 -1.012
0.436 -4.109 4.639
Cr La S Bi
2 1 1 1
Direct
0.500 0.000 0.000
0.000 0.500 0.000
0.000 0.000 0.000
0.500 0.500 0.500
0.000 0.000 0.500
```

Below is a relaxed RbNaOsF2 crystal, with properties calculated at the GGA-PBEsol level.

space group = No. 123
formation energy (no corrections) = 0.089 eV/atom
crystal system = tetragonal

POSCAR file:
```
RbNaOsF2
1.0
4.472 0.000 0.000
0.000 4.472 0.000
0.000 0.000 5.292
Os Rb F Na
1 1 2 1
Direct
0.500 0.500 0.500
0.000 0.000 0.500
0.000 0.500 0.000
0.500 0.000 0.000
0.000 0.000 0.000
```

Below is a relaxed KAlMo2 crystal, with properties calculated at the GGA-PBEsol level.

space group = No. 65
ΔH_f (0 K) = 1227 meV per atom
crystal system = orthorhombic

POSCAR file:
```
KAlMo2
1.0
2.623 0.000 0.000
0.000 5.547 0.000
0.000 -2.773 4.917
K Al Mo
1 1 2
Direct
0.500 0.500 0.000
0.500 0.000 0.000
0.000 0.000 0.500
0.000 0.500 0.500
```

Below is a relaxed ReGe3S crystal, with properties calculated at the GGA-PBEsol level.

space group = No. 221
formation energy (no corrections) = 0.397 eV/atom
crystal system = cubic

POSCAR file:
```
ReGe3S
1.0
-3.782 2.094 -1.989
-1.573 -4.242 -1.476
-2.423 -0.516 4.063
Re S Ge
1 1 3
Direct
0.000 0.000 0.000
0.500 0.500 0.500
0.000 0.000 0.500
0.500 0.000 0.000
0.000 0.500 0.000
```

Number 1: M_tot 0.0 μB per formula unit, density 4.05 g/cm3. Number 2: M_tot 0.0 μB per formula unit, density 7.65 g/cm3. Number 3: M_tot 1.7 μB per formula unit, density 4.82 g/cm3. Number 4: M_tot 0.0 μB per formula unit, density 7.45 g/cm3. Number 5: M_tot 6.2 μB per formula unit, density 5.97 g/cm3. Number 6: M_tot 4.0 μB per formula unit, density 5.28 g/cm3. Number 7: M_tot 0.0 μB per formula unit, density 5.99 g/cm3. Number 8: M_tot 0.6 μB per formula unit, density 6.72 g/cm3.